MnPdPt3 (PBE-GGA, optimized geometry); crystal system = cubic; distance to the lowest polymorph of the same formula = 5.04 eV/f.u.; DFT total energy = -0.40650 Ry/atom; ΔH_f (0 K) = 0.9663 eV/atom; V = 18.503 Å³/atom; magnetic moment = 0.00 μB per formula unit; density of states at the Fermi level = 1.117 states/eV/atom
1.0
4.523 0.000 0.000
0.000 4.523 0.000
0.000 0.000 4.523
Pt Mn Pd
3 1 1
Cartesian
2.261 0.000 0.000
0.000 0.000 2.261
0.000 2.261 0.000
0.000 0.000 0.000
2.261 2.261 2.261